# 1
Material: Cu2OsPb
Method: DFT, PBE-GGA
State: optimized geometry

## Properties
Calculated formation energy in meV per atom: 677
N(E_F) in states/eV/f.u.: 2.85
Crystal system: orthorhombic
Symmetry: Immm, No. 71

a = 5.412 Å, b = 5.412 Å, c = 5.412 Å
α = 146.87°, β = 130.54°, γ = 60.83°
Last column: magnetic moment on the atom in μB.
Positions (direct):
1 Cu 0.985 0.985 0.000  0.03
2 Cu 0.515 0.515 0.000  0.03
3 Os 0.750 0.250 0.500  0.26
4 Pb 0.250 0.750 0.500  0.00



# 2
Material: CaCuS2N
Method: DFT, PBE-GGA
State: optimized geometry

## Properties
Offset from the most stable computed form in meV per atom: 1057
ΔE_f (raw) in kJ per mole of atoms: 98.25
N(E_F) in states/eV/f.u.: 4.50
Crystal system: tetragonal
Symmetry: P4/mmm, No. 123

a = 5.292 Å, b = 5.292 Å, c = 4.510 Å
α = 90.00°, β = 90.00°, γ = 90.00°
Last column: magnetic moment on the atom in μB.
Positions (direct):
1 Ca 0.000 0.000 0.000  0.03
2 S 0.000 0.500 0.000  0.49
3 S 0.500 0.000 0.000  0.49
4 Cu 0.500 0.500 0.500  0.14
5 N 0.000 0.000 0.500  1.47



# 3
Material: Th4Sn2C
Method: DFT, PBE-GGA
State: optimized geometry

## Properties
Calculated formation energy in meV per atom: -347
Offset from the most stable computed form in meV per atom: 31
N(E_F) in states/eV/f.u.: 6.40
Crystal system: monoclinic
Symmetry: P2_1/m, No. 11

a = 6.537 Å, b = 6.798 Å, c = 9.726 Å
α = 90.00°, β = 110.74°, γ = 90.00°
Positions (direct):
1 Th 0.549 0.484 0.289
2 Th 0.154 0.750 0.956
3 Th 0.846 0.250 0.044
4 Th 0.549 0.016 0.289
5 Th 0.915 0.250 0.651
6 Th 0.451 0.984 0.711
7 Th 0.451 0.516 0.711
8 Th 0.085 0.750 0.349
9 Sn 0.703 0.750 0.033
10 Sn 0.297 0.250 0.967
11 Sn 0.164 0.250 0.403
12 Sn 0.836 0.750 0.597
13 C 0.315 0.750 0.213
14 C 0.685 0.250 0.787



# 4
Material: Mg2GaSi
Method: DFT, PBE-GGA
State: optimized geometry

## Properties
ΔE_f (raw) in kJ per mole of atoms: -8.72
N(E_F) in states/eV/f.u.: 0.92
Crystal system: monoclinic
Symmetry: P2_1/m, No. 11

a = 3.935 Å, b = 5.208 Å, c = 8.313 Å
α = 112.81°, β = 90.00°, γ = 90.00°
Positions (direct):
1 Mg 0.750 0.231 0.429
2 Mg 0.250 0.769 0.571
3 Mg 0.250 0.782 0.065
4 Mg 0.750 0.218 0.935
5 Ga 0.750 0.669 0.291
6 Ga 0.250 0.331 0.709
7 Si 0.250 0.350 0.209
8 Si 0.750 0.650 0.791



# 5
Material: DyHo2Cd3
Method: DFT, PBE-GGA
State: optimized geometry

## Properties
Calculated formation energy in meV per atom: -318
N(E_F) in states/eV/f.u.: 6.14
Crystal system: tetragonal
Symmetry: P4/mmm, No. 123

a = 3.736 Å, b = 3.736 Å, c = 11.184 Å
α = 90.00°, β = 90.00°, γ = 90.00°
Positions (direct):
1 Dy 0.500 0.500 0.500
2 Ho 0.500 0.500 0.834
3 Ho 0.500 0.500 0.166
4 Cd 0.000 0.000 0.000
5 Cd 0.000 0.000 0.668
6 Cd 0.000 0.000 0.332



# 6
Material: Hf2V3H8
Method: DFT, PBE-GGA
State: optimized geometry

## Properties
N(E_F) in states/eV/f.u.: 5.12
Crystal system: monoclinic
DFT total energy in hartree per atom: -0.21942
Symmetry: C2/m, No. 12

a = 4.341 Å, b = 5.487 Å, c = 5.550 Å
α = 119.63°, β = 109.75°, γ = 90.00°
Positions (direct):
1 Hf 0.333 0.314 0.627
2 Hf 0.667 0.686 0.373
3 V 0.500 0.000 0.000
4 V 0.000 0.258 0.000
5 V 0.000 0.742 0.000
6 H 0.105 0.639 0.278
7 H 0.895 0.361 0.722
8 H 0.937 0.112 0.224
9 H 0.063 0.888 0.776
10 H 0.585 0.673 0.722
11 H 0.585 0.050 0.722
12 H 0.415 0.950 0.278
13 H 0.415 0.327 0.278



# 7
Material: ReAu
Method: DFT, PBE-GGA
State: optimized geometry

## Properties
Calculated formation energy in meV per atom: 526
Offset from the most stable computed form in meV per atom: 382
N(E_F) in states/eV/f.u.: 1.35
Crystal system: trigonal
Symmetry: R-3m, No. 166

a = 5.013 Å, b = 5.013 Å, c = 5.013 Å
α = 32.47°, β = 32.47°, γ = 32.47°
Positions (direct):
1 Au 0.000 0.000 0.000
2 Re 0.500 0.500 0.500



# 8
Material: Nd3Cd7Au2
Method: DFT, PBE-GGA
State: optimized geometry

## Properties
Calculated formation energy in meV per atom: -328
N(E_F) in states/eV/f.u.: 10.45
Crystal system: trigonal
Symmetry: R-3m, No. 166

a = 5.914 Å, b = 5.914 Å, c = 10.199 Å
α = 73.15°, β = 73.15°, γ = 60.00°
Positions (direct):
1 Nd 0.000 0.000 0.000
2 Nd 0.857 0.857 0.429
3 Nd 0.143 0.143 0.571
4 Cd 0.500 0.500 0.500
5 Cd 0.923 0.416 0.246
6 Cd 0.416 0.923 0.246
7 Cd 0.416 0.416 0.246
8 Cd 0.077 0.584 0.754
9 Cd 0.584 0.584 0.754
10 Cd 0.584 0.077 0.754
11 Au 0.665 0.665 0.004
12 Au 0.335 0.335 0.996



# 9
Material: UNbAs2
Method: DFT, PBE-GGA
State: optimized geometry

## Properties
Calculated formation energy in meV per atom: -577
Offset from the most stable computed form in meV per atom: 26
N(E_F) in states/eV/f.u.: 2.76
Crystal system: trigonal
Symmetry: R3m, No. 160

a = 3.693 Å, b = 3.693 Å, c = 7.423 Å
α = 75.59°, β = 75.59°, γ = 60.00°
Last column: magnetic moment on the atom in μB.
Positions (direct):
1 U 0.670 0.670 0.991  2.58
2 Nb 0.497 0.497 0.509  0.02
3 As 0.092 0.092 0.723  -0.03
4 As 0.241 0.241 0.278  -0.03



# 10
Material: YErSnPb
Method: DFT, PBE-GGA
State: optimized geometry

## Properties
Calculated formation energy in meV per atom: -459
N(E_F) in states/eV/f.u.: 2.99
Crystal system: cubic
Symmetry: F-43m, No. 216

a = 5.392 Å, b = 5.392 Å, c = 5.392 Å
α = 60.00°, β = 60.00°, γ = 60.00°
Positions (direct):
1 Pb 0.500 0.500 0.500
2 Y 0.750 0.750 0.750
3 Sn 0.000 0.000 0.000
4 Er 0.250 0.250 0.250



# 11
Material: CrAs2P
Method: DFT, PBE-GGA
State: optimized geometry

## Properties
Calculated formation energy in meV per atom: 398
N(E_F) in states/eV/f.u.: 2.43
Crystal system: tetragonal
Symmetry: P4/mmm, No. 123

a = 2.827 Å, b = 2.827 Å, c = 8.396 Å
α = 90.00°, β = 90.00°, γ = 90.02°
Last column: magnetic moment on the atom in μB.
Positions (direct):
1 As 0.000 0.000 0.049  -0.04
2 As 0.000 0.000 0.451  -0.04
3 Cr 0.500 0.500 0.250  1.94
4 P 0.500 0.500 0.750  -0.01



# 12
Material: BaTe2Os
Method: DFT, PBE-GGA
State: optimized geometry

## Properties
Offset from the most stable computed form in meV per atom: 406
ΔE_f (raw) in kJ per mole of atoms: -3.46
N(E_F) in states/eV/f.u.: 2.37
Crystal system: orthorhombic
Symmetry: Imm2, No. 44

a = 7.934 Å, b = 7.934 Å, c = 7.934 Å
α = 152.85°, β = 150.01°, γ = 40.90°
Positions (direct):
1 Ba 0.447 0.447 0.000
2 Os 0.206 0.706 0.500
3 Te 0.081 0.081 0.000
4 Te 0.766 0.266 0.500



# 13
Material: AcZn2Sb2
Method: DFT, PBE-GGA
State: optimized geometry

## Properties
ΔE_f (raw) in kJ per mole of atoms: -40.60
N(E_F) in states/eV/f.u.: 1.57
Crystal system: orthorhombic
Symmetry: Amm2, No. 38

a = 4.571 Å, b = 4.926 Å, c = 6.803 Å
α = 90.00°, β = 109.64°, γ = 90.00°
Positions (direct):
1 Ac 0.052 0.800 0.105
2 Zn 0.736 0.800 0.472
3 Zn 0.250 0.300 0.500
4 Sb 0.349 0.800 0.698
5 Sb 0.613 0.300 0.226



# 14
Material: BeIrNF2
Method: DFT, PBE-GGA
State: optimized geometry

## Properties
Offset from the most stable computed form in meV per atom: 1123
ΔE_f (raw) in kJ per mole of atoms: 19.99
N(E_F) in states/eV/f.u.: 2.81
Crystal system: tetragonal
Symmetry: P4/mmm, No. 123

a = 4.319 Å, b = 4.319 Å, c = 3.716 Å
α = 90.00°, β = 90.00°, γ = 90.00°
Last column: magnetic moment on the atom in μB.
Positions (direct):
1 Be 0.500 0.500 0.500  0.11
2 N 0.000 0.000 0.500  -0.01
3 Ir 0.000 0.000 0.000  -0.03
4 F 0.000 0.500 0.000  0.01
5 F 0.500 0.000 0.000  0.01



# 15
Material: SiTc2W
Method: DFT, PBE-GGA
State: optimized geometry

## Properties
ΔE_f (raw) in kJ per mole of atoms: -1.36
N(E_F) in states/eV/f.u.: 2.90
Crystal system: monoclinic
Symmetry: P2/m, No. 10

a = 4.254 Å, b = 2.772 Å, c = 4.960 Å
α = 83.33°, β = 90.00°, γ = 90.00°
Positions (direct):
1 Si 0.500 0.750 0.750
2 Tc 0.000 0.971 0.991
3 Tc 0.000 0.529 0.509
4 W 0.500 0.250 0.250



# 16
Material: GdDySc2
Method: DFT, PBE-GGA
State: optimized geometry

## Properties
Calculated formation energy in meV per atom: 62
Offset from the most stable computed form in meV per atom: 11
N(E_F) in states/eV/f.u.: 5.73
Crystal system: trigonal
Symmetry: R-3m, No. 166

a = 3.424 Å, b = 3.424 Å, c = 11.125 Å
α = 81.15°, β = 81.15°, γ = 60.00°
Last column: magnetic moment on the atom in μB.
Positions (direct):
1 Sc 0.750 0.750 0.749  -0.06
2 Sc 0.250 0.250 0.251  -0.06
3 Gd 0.000 0.000 0.000  7.12
4 Dy 0.500 0.500 0.500  -0.04